1.
{
  "formula": "KInPb2",
  "functional": "SCAN",
  "state": "single point on PBEsol structure",
  "n_ef_per_ev_atom": 0.25,
  "e_tot_ev_per_fu": -193.805,
  "delta_e_f_ev_per_atom": -0.132,
  "cell": [[5.563, 0.000, 0.000], [2.781, 4.817, 0.000], [2.781, 1.606, 4.542]],
  "species": ["K", "Pb", "In", "Pb"],
  "fractional_positions": [[0.250, 0.250, 0.250], [0.750, 0.750, 0.750], [0.500, 0.500, 0.500], [0.000, 0.000, 0.000]]
}

***

2.
{
  "formula": "Ba2LiIn",
  "functional": "SCAN",
  "state": "single point on PBEsol structure",
  "n_ef_per_ev_atom": 0.12,
  "e_tot_ev_per_fu": -116.015,
  "delta_e_f_ev_per_atom": -0.285,
  "cell": [[-1.023, 2.225, -5.126], [1.972, -2.580, -4.661], [-3.600, -2.587, -3.553]],
  "species": ["In", "Ba", "Ba", "Li"],
  "fractional_positions": [[0.500, 0.500, 0.500], [0.000, 0.000, 0.000], [0.750, 0.750, 0.750], [0.250, 0.250, 0.250]]
}

***

3.
{
  "formula": "LiTcTe2C",
  "functional": "SCAN",
  "state": "single point on PBEsol structure",
  "n_ef_per_ev_atom": 0.74,
  "e_form_raw_ev_per_atom": 0.646,
  "e_tot_ev_per_fu": -118.823,
  "cell": [[-2.422, -2.341, -1.939], [-0.893, -2.486, 4.116], [-3.719, 3.011, 1.012]],
  "species": ["Li", "Te", "Tc", "C", "Te"],
  "fractional_positions": [[0.500, 0.500, 0.500], [0.000, 0.000, 0.500], [0.500, 0.000, 0.000], [0.000, 0.000, 0.000], [0.000, 0.500, 0.000]]
}

***

4.
{
  "formula": "TlSb2Os",
  "functional": "SCAN",
  "state": "single point on PBEsol structure",
  "n_ef_per_ev_atom": 0.55,
  "e_form_raw_ev_per_atom": 0.909,
  "e_tot_ev_per_fu": -215.122,
  "cell": [[3.463, 0.000, 0.000], [0.000, 5.108, 0.017], [0.000, -1.672, 4.826]],
  "species": ["Sb", "Sb", "Os", "Tl"],
  "fractional_positions": [[0.000, 0.000, 0.500], [0.000, 0.500, 0.000], [0.500, 0.000, 0.000], [0.500, 0.500, 0.500]]
}